# 1
This record from Alexandria describes a geometry-optimized Mo2HPdCl structure. The functional is PBE.

Calculated total energy (eV per atom): -5.6927

Structure (POSCAR):
```
Mo2HPdCl
1.0
-2.603 -2.208 -1.765
0.498 -3.259 3.342
-2.797 1.666 2.041
Cl Mo Pd H
1 2 1 1
Direct
0.500 0.500 0.500
0.500 0.000 0.000
0.000 0.000 0.500
0.000 0.500 0.000
0.000 0.000 0.000
```

# 2
This record from Alexandria describes a geometry-optimized Mo2HPtCl structure. The functional is PBE.

Calculated total energy (eV per atom): -5.4536

Structure (POSCAR):
```
Mo2HPtCl
1.0
5.094 0.000 0.000
0.000 3.280 0.000
0.000 0.000 5.094
Mo Cl H Pt
2 1 1 1
Direct
0.500 0.000 0.000
0.000 0.000 0.500
0.500 0.500 0.500
0.000 0.500 0.000
0.000 0.000 0.000
```

# 3
This record from Alexandria describes a geometry-optimized RbMoHCl6 structure. The functional is PBE.

Calculated total energy (eV per atom): -3.9269

Structure (POSCAR):
```
RbMoHCl6
1.0
7.378 0.509 0.087
4.125 6.102 -0.055
0.094 -0.115 6.867
Cl H Rb Mo
6 1 1 1
Direct
0.657 0.960 0.330
0.305 0.074 0.716
0.964 0.658 0.670
0.343 0.540 0.280
0.074 0.306 0.286
0.542 0.341 0.715
0.811 0.808 0.501
0.989 0.999 0.002
0.314 0.313 0.499
```

# 4
This record from Alexandria describes a geometry-optimized Re2MoHCl structure. The functional is PBE.

Calculated total energy (eV per atom): -7.0282

Structure (POSCAR):
```
Re2MoHCl
1.0
-2.848 -2.202 0.759
1.219 -2.958 -4.008
2.158 -2.046 2.166
H Cl Mo Re
1 1 1 2
Direct
0.000 0.000 0.000
0.000 0.500 0.000
0.500 0.500 0.500
0.000 0.000 0.500
0.500 0.000 0.000
```

# 5
This record from Alexandria describes a geometry-optimized MoHSCl2 structure. The functional is PBE.

Relative energy among the computed polymorphs (eV/atom): 0.617

Structure (POSCAR):
```
MoHSCl2
1.0
4.972 0.000 0.000
0.000 4.972 0.000
0.000 0.000 3.237
H Cl Mo S
1 2 1 1
Direct
0.000 0.000 0.000
0.000 0.500 0.000
0.500 0.000 0.000
0.500 0.500 0.500
0.000 0.000 0.500
```

# 6
This record from Alexandria describes a geometry-optimized MoHS2Cl structure. The functional is PBE.

Relative energy among the computed polymorphs (eV/atom): 0.524

Structure (POSCAR):
```
MoHS2Cl
1.0
3.778 0.000 0.000
0.000 3.778 0.000
0.000 0.000 5.461
Mo Cl S H
1 1 2 1
Direct
0.500 0.500 0.500
0.000 0.000 0.500
0.500 0.000 0.000
0.000 0.500 0.000
0.000 0.000 0.000
```

# 7
This record from Alexandria describes a geometry-optimized MoHSCl2 structure. The functional is PBE.

Relative energy among the computed polymorphs (eV/atom): 0.000

Structure (POSCAR):
```
MoHSCl2
1.0
-4.515 1.493 -1.228
-0.588 -4.033 -2.741
-1.720 -2.216 3.631
Cl S H Mo
2 1 1 1
Direct
0.000 0.500 0.000
0.500 0.000 0.000
0.000 0.000 0.500
0.500 0.500 0.500
0.000 0.000 0.000
```

# 8
This record from Alexandria describes a geometry-optimized MoHS2Cl structure. The functional is PBE.

Relative energy among the computed polymorphs (eV/atom): 0.000

Structure (POSCAR):
```
MoHS2Cl
1.0
4.628 0.000 0.000
0.000 4.628 0.000
0.000 0.000 4.985
H S Mo Cl
1 2 1 1
Direct
0.500 0.500 0.500
0.000 0.500 0.000
0.500 0.000 0.000
0.000 0.000 0.000
0.000 0.000 0.500
```

# 9
This record from Alexandria describes a geometry-optimized Sn2MoHCl structure. The functional is PBE.

Relative energy among the computed polymorphs (eV/atom): 0.000

Structure (POSCAR):
```
Sn2MoHCl
1.0
-4.931 -1.698 1.493
-0.238 -3.172 -4.395
1.466 -2.647 1.831
Sn Mo Cl H
2 1 1 1
Direct
0.500 0.000 0.000
0.000 0.500 0.000
0.000 0.000 0.000
0.500 0.500 0.500
0.000 0.000 0.500
```

# 10
This record from Alexandria describes a geometry-optimized Sn2MoHCl structure. The functional is PBE.

Relative energy among the computed polymorphs (eV/atom): 1.141

Structure (POSCAR):
```
Sn2MoHCl
1.0
-2.718 4.545 -1.684
-4.550 -1.728 2.682
1.322 2.129 3.613
H Mo Cl Sn
1 1 1 2
Direct
0.500 0.500 0.500
0.000 0.000 0.500
0.000 0.000 0.000
0.000 0.500 0.000
0.500 0.000 0.000
```

# 11
This record from Alexandria describes a geometry-optimized NaH6N2Cl2 structure. The functional is PBE.

Calculated total energy (eV per atom): -4.3510

Structure (POSCAR):
```
NaH6N2Cl2
1.0
-0.356 -1.101 -4.150
-6.184 -5.626 -0.216
2.094 8.137 -2.336
H N Na Cl
6 2 1 2
Direct
0.126 0.748 0.668
0.642 0.325 0.217
0.966 0.675 0.783
0.358 0.675 0.783
0.034 0.325 0.217
0.874 0.252 0.332
0.122 0.756 0.792
0.878 0.244 0.208
0.500 0.000 0.500
0.174 0.653 0.338
0.826 0.347 0.662
```

# 12
This record from Alexandria describes a geometry-optimized NaHNCl2 structure. The functional is PBE.

Calculated total energy (eV per atom): -3.1707

Structure (POSCAR):
```
NaHNCl2
1.0
-2.021 -2.940 3.101
-0.204 -2.137 -2.159
4.261 -1.641 1.221
Na H N Cl
1 1 1 2
Direct
0.500 0.500 0.500
0.000 0.500 0.000
0.000 0.000 0.000
0.500 0.000 0.000
0.000 0.000 0.500
```

- Number 1 is which compound?
  Mo2HPdCl